## Ca3TlP (PBE)

Data for a geometry-optimized Ca3TlP structure.

a b c (Å): 12.142 12.142 12.142
angles (deg): 152.24 152.24 39.66
Fractional positions:
1 Ca 0.201 0.201 0.000
2 Ca 0.369 0.135 0.766
3 Ca 0.369 0.603 0.234
4 Ca 0.397 0.631 0.766
5 Ca 0.799 0.799 0.000
6 Ca 0.865 0.631 0.234
7 Tl 0.250 0.750 0.500
8 Tl 0.500 0.500 0.000
9 P 0.639 0.139 0.500
10 P 0.861 0.361 0.500

space group = I-4m2 (119)
final energy = -2.66 eV/atom
ρ = 3.05 Mg/m³
total magnetic moment = 0.2 Bohr magnetons per cell